No. 1
The following is a PBE-GGA calculation of Cu2IrC after structural relaxation, from Alexandria.

Unit cell a=6.838 b=6.838 c=6.838 alpha=144.25 beta=144.25 gamma=51.46
Positions (direct):
Cu  0.375  0.232  0.357
Cu  0.768  0.125  0.143
Cu  0.875  0.018  0.643
Cu  0.982  0.625  0.857
Ir  0.250  0.750  0.500
Ir  0.500  0.500  0.000
C  0.000  0.000  0.000
C  0.750  0.250  0.500

Properties
Energy: -5.124 eV/atom
Calculated volume: 13.6 A^3/atom
D(E_F): 7.3 states/eV/cell
Symmetry: I-42d, No. 122
Total moment: 0.00 μB per cell



No. 2
The following is a PBE-GGA calculation of Mg2CuIrC after structural relaxation, from Alexandria.

Unit cell a=5.062 b=5.062 c=3.817 alpha=90.00 beta=90.00 gamma=90.00
Positions (direct):
Mg  0.000  0.500  0.000
Mg  0.500  0.000  0.000
Cu  0.000  0.000  0.500
Ir  0.500  0.500  0.000
C  0.500  0.500  0.500

Properties
Energy: -4.570 eV/atom
Calculated volume: 19.6 A^3/atom
D(E_F): 2.2 states/eV/cell
Symmetry: P4/mmm, No. 123
Total moment: 0.00 μB per cell



No. 3
The following is a PBE-GGA calculation of Mn2CuIrC after structural relaxation, from Alexandria.

Unit cell a=3.854 b=3.854 c=3.907 alpha=90.00 beta=90.00 gamma=90.00
Positions (direct):
Mn  0.000  0.500  0.000
Mn  0.500  0.000  0.000
Cu  0.000  0.000  0.500
Ir  0.500  0.500  0.500
C  0.000  0.000  0.000

Properties
Energy: -7.863 eV/atom
Calculated volume: 11.6 A^3/atom
D(E_F): 4.3 states/eV/cell
Symmetry: P4/mmm, No. 123
Total moment: 5.00 μB per cell



No. 4
The following is a PBE-GGA calculation of CuIr2CN after structural relaxation, from Alexandria.

Unit cell a=4.085 b=4.085 c=3.558 alpha=90.00 beta=90.00 gamma=90.00
Positions (direct):
Cu  0.000  0.000  0.000
Ir  0.000  0.500  0.500
Ir  0.500  0.000  0.500
C  0.500  0.500  0.500
N  0.500  0.500  0.000

Properties
Energy: -6.409 eV/atom
Calculated volume: 11.9 A^3/atom
D(E_F): 6.1 states/eV/cell
Symmetry: P4/mmm, No. 123
Total moment: 0.00 μB per cell